1.
VASP calculation (GGA-PBE) on N after structural relaxation.

a = 4.2252 Å, b = 5.8844 Å, c = 3.7433 Å
α = 90.00°, β = 149.24°, γ = 90.00°
Positions (direct):
N 0.7500 0.9382 0.2500
N 0.2500 0.5618 0.2500
N 0.7500 0.4382 0.7500
N 0.2500 0.0618 0.7500

## Properties
Distance to the lowest polymorph of the same formula (meV/atom): 1047


2.
VASP calculation (GGA-PBE) on Rb2NpSc2Te6 after structural relaxation.

a = 7.4570 Å, b = 7.4570 Å, c = 9.1150 Å
α = 97.69°, β = 97.69°, γ = 120.24°
Positions (direct):
Te 0.5945 0.9355 0.3086
Te 0.9355 0.5945 0.3086
Te 0.0645 0.4055 0.6914
Te 0.4055 0.0645 0.6914
Te 0.7175 0.7175 0.6909
Te 0.2825 0.2825 0.3091
Sc 0.3324 0.6676 0.5000
Sc 0.6676 0.3324 0.5000
Rb 0.8361 0.1639 0.0000
Rb 0.1639 0.8361 0.0000
Np 0.0000 0.0000 0.5000

## Properties
E_tot (eV for the cell shown): -58.25


3.
VASP calculation (GGA-PBE) on Zr3PdN after structural relaxation.

a = 3.3501 Å, b = 7.4761 Å, c = 7.4765 Å
α = 72.13°, β = 90.00°, γ = 90.00°
Positions (direct):
Zr 0.3632 0.0004 0.0527
Zr 0.3632 0.3879 0.4402
Zr 0.8632 0.7587 0.4187
Zr 0.8632 0.3665 0.8109
Zr 0.8632 0.0218 0.6820
Zr 0.8632 0.6297 0.0741
Pd 0.3632 0.6941 0.7464
Pd 0.8632 0.1941 0.2465
N 0.3632 0.1941 0.7464
N 0.3632 0.6941 0.2464

## Properties
E_tot (eV for the cell shown): -87.28


4.
VASP calculation (GGA-PBE) on HfMn2TlI after structural relaxation.

a = 5.1736 Å, b = 5.5335 Å, c = 5.1736 Å
α = 90.00°, β = 90.00°, γ = 90.00°
Positions (direct):
I 0.5000 0.5000 0.5000
Mn 0.5000 0.0000 0.0000
Mn 0.0000 0.0000 0.5000
Hf 0.0000 0.5000 0.0000
Tl 0.0000 0.0000 0.0000

## Properties
E_tot (eV for the cell shown): -26.42


5.
VASP calculation (GGA-PBE) on MnSnIrPt after structural relaxation.

a = 2.8610 Å, b = 2.8610 Å, c = 7.5492 Å
α = 90.00°, β = 90.00°, γ = 90.00°
Positions (direct):
Sn 0.5000 0.5000 0.7765
Mn 0.0000 0.0000 0.5218
Pt 0.0000 0.0000 0.0461
Ir 0.5000 0.5000 0.3217

## Properties
E_form (kJ/mol of atoms): 8


6.
VASP calculation (GGA-PBE) on Sm4AgHgAu2 after structural relaxation.

a = 5.2449 Å, b = 5.2449 Å, c = 9.0919 Å
α = 73.24°, β = 73.24°, γ = 60.00°
Positions (direct):
Au 0.2501 0.2501 0.2498
Au 0.7499 0.7499 0.7502
Ag 0.5000 0.5000 0.5000
Sm 0.1264 0.1264 0.6208
Sm 0.3766 0.3766 0.8701
Sm 0.8736 0.8736 0.3792
Sm 0.6234 0.6234 0.1299
Hg 0.0000 0.0000 0.0000

## Properties
E_form (kJ/mol of atoms): -56